i.
## K2LaRe (PBE)

Data for an optimized crystal structure of K2LaRe.

Lattice parameters (Å, degrees): 2.9491 2.9491 13.3670 90.00 90.00 90.00
Closest atoms and distances in Å follow each position.
Space group P4/mmm (No. 123)
Unique sites:
1 K 0.0000 0.0000 0.2055 (multiplicity 2)  4 K 2.95
2 La 0.5000 0.5000 0.5000 (multiplicity 1)  4 La 2.95
3 Re 0.5000 0.5000 0.0000 (multiplicity 1)  4 Re 2.95

Properties
Magnetic moment: 0.00 μB per formula unit

---

ii.
## K2LaRe (PBE)

Data for an optimized crystal structure of K2LaRe.

Lattice parameters (Å, degrees): 5.0007 5.0007 5.8335 90.00 90.00 90.00
Closest atoms and distances in Å follow each position.
Space group P4/mmm (No. 123)
Unique sites:
1 K 0.0000 0.0000 0.2354 (multiplicity 2)  1 K 2.75
2 La 0.5000 0.5000 0.5000 (multiplicity 1)  2 Re 2.92
3 Re 0.5000 0.5000 0.0000 (multiplicity 1)  2 La 2.92

Properties
Magnetic moment: 1.87 μB per formula unit

---

Most stable: i. Least stable: ii.

---

i.
## K2LaRe (PBE)

Data for an optimized crystal structure of K2LaRe.

Lattice parameters (Å, degrees): 21.3410 3.3780 4.6248 90.00 102.44 90.00
Closest atoms and distances in Å follow each position.
Space group C2/m (No. 12)
Unique sites:
1 K 0.1546 0.0000 0.1536 (multiplicity 4)  2 K 3.38, 2 Re 3.64
2 La 0.0000 0.0000 0.5000 (multiplicity 2)  4 Re 2.86
3 Re 0.0000 0.5000 0.0000 (multiplicity 2)  4 La 2.86

Properties
Magnetic moment: 0.04 μB per formula unit

---

ii.
## K2LaRe (PBE)

Data for an optimized crystal structure of K2LaRe.

Lattice parameters (Å, degrees): 8.0439 8.0439 8.0439 90.00 90.00 90.00
Closest atoms and distances in Å follow each position.
Space group Fm-3m (No. 225)
Unique sites:
1 K 0.2500 0.2500 0.2500 (multiplicity 8)  4 Re 3.48, 4 La 3.48
2 La 0.0000 0.0000 0.0000 (multiplicity 4)  8 K 3.48
3 Re 0.0000 0.0000 0.5000 (multiplicity 4)  8 K 3.48

Properties
Magnetic moment: 1.85 μB per formula unit

---

iii.
## K2LaRe (PBE)

Data for an optimized crystal structure of K2LaRe.

Lattice parameters (Å, degrees): 4.4617 6.4953 10.7862 90.00 90.00 90.00
Closest atoms and distances in Å follow each position.
Space group Imm2 (No. 44)
Unique sites:
1 K 0.0000 0.0000 0.0000 (multiplicity 2)  4 K 3.83-4.03, 4 La 3.85-4.00, 4 Re 4.04
2 K 0.0000 0.5000 0.1885 (multiplicity 2)  4 Re 3.68-4.08, 4 K 3.83-4.03, 1 La 4.10
3 La 0.0000 0.5000 0.8079 (multiplicity 2)  2 Re 2.52
4 Re 0.0000 0.0000 0.4173 (multiplicity 2)  2 La 2.52

Properties
Magnetic moment: 0.79 μB per formula unit

---

iv.
## K2LaRe (PBE)

Data for an optimized crystal structure of K2LaRe.

Lattice parameters (Å, degrees): 3.1168 3.1168 40.1465 90.00 90.00 120.00
Closest atoms and distances in Å follow each position.
Space group R-3m (No. 166, hexagonal axes)
Unique sites:
1 K 0.0000 0.0000 0.2374 (multiplicity 6)  6 K 3.12, 3 Re 3.36
2 La 0.0000 0.0000 0.0000 (multiplicity 3)  6 La 3.12
3 Re 0.0000 0.0000 0.5000 (multiplicity 3)  6 Re 3.12, 6 K 3.36

Properties
Magnetic moment: 0.60 μB per formula unit

---

Most stable: i. Least stable: ii.

---

i.
## K2LaRe (PBE)

Data for an optimized crystal structure of K2LaRe.

Lattice parameters (Å, degrees): 9.1587 3.4136 10.2459 90.00 94.41 90.00
Closest atoms and distances in Å follow each position.
Space group Cm (No. 8)
Unique sites:
1 K 0.0000 0.0000 0.0000 (multiplicity 2)  2 K 3.41, 2 Re 3.58
2 K 0.2195 0.0000 0.6161 (multiplicity 2)  2 K 3.41, 1 La 3.73
3 La 0.4484 0.0000 0.3298 (multiplicity 2)  3 Re 2.59-2.81
4 Re 0.2124 0.5000 0.2564 (multiplicity 2)  3 La 2.59-2.81

Properties
Magnetic moment: 0.01 μB per formula unit

---

ii.
## K2LaRe (PBE)

Data for an optimized crystal structure of K2LaRe.

Lattice parameters (Å, degrees): 3.4250 4.4907 10.5481 90.00 97.01 90.00
Closest atoms and distances in Å follow each position.
Space group Pm (No. 6)
Unique sites:
1 K 0.0000 0.0000 0.0000 (multiplicity 1)  2 K 3.43, 1 Re 3.63
2 K 0.3367 0.5000 0.6227 (multiplicity 1)  2 K 3.43, 1 La 3.64, 2 Re 3.82
3 La 0.8381 0.5000 0.2975 (multiplicity 1)  4 Re 2.73-2.98
4 Re 0.4138 0.0000 0.3335 (multiplicity 1)  4 La 2.73-2.98

Properties
Magnetic moment: 0.00 μB per formula unit

---

iii.
## K2LaRe (PBE)

Data for an optimized crystal structure of K2LaRe.

Lattice parameters (Å, degrees): 7.7759 7.7759 7.7759 90.00 90.00 90.00
Closest atoms and distances in Å follow each position.
Space group F-43m (No. 216)
Unique sites:
1 K 0.0000 0.0000 0.0000 (multiplicity 4)  4 La 3.37, 4 K 3.37
2 K 0.2500 0.2500 0.2500 (multiplicity 4)  4 K 3.37, 4 Re 3.37
3 La 0.2500 0.2500 0.7500 (multiplicity 4)  4 K 3.37, 4 Re 3.37
4 Re 0.0000 0.0000 0.5000 (multiplicity 4)  4 La 3.37, 4 K 3.37

Properties
Magnetic moment: 1.12 μB per formula unit

---

iv.
## K2LaRe (PBE)

Data for an optimized crystal structure of K2LaRe.

Lattice parameters (Å, degrees): 4.3657 4.3657 26.8597 90.00 90.00 90.00
Closest atoms and distances in Å follow each position.
Space group I-42d (No. 122)
Unique sites:
1 K 0.2394 0.2500 0.1250 (multiplicity 8)  4 K 3.02-3.15
2 La 0.0000 0.0000 0.5000 (multiplicity 4)  4 Re 3.09
3 Re 0.0000 0.0000 0.0000 (multiplicity 4)  4 La 3.09

Properties
Magnetic moment: 1.34 μB per formula unit

---

Most stable: ii. Least stable: iii.

---

i.
## KLa2ZnRe (PBE)

Data for an optimized crystal structure of KLa2ZnRe.

Lattice parameters (Å, degrees): 5.7592 5.7592 4.8148 90.00 90.00 90.00
Closest atoms and distances in Å follow each position.
Space group P4/mmm (No. 123)
Unique sites:
1 K 0.0000 0.0000 0.0000 (multiplicity 1)  8 La 3.75, 4 Re 4.07
2 La 0.0000 0.5000 0.5000 (multiplicity 2)  2 Zn 2.88
3 Zn 0.5000 0.5000 0.5000 (multiplicity 1)  2 Re 2.41
4 Re 0.5000 0.5000 0.0000 (multiplicity 1)  2 Zn 2.41

Properties
Magnetic moment: 0.00 μB per formula unit

---

ii.
## KLa2ZnRe (PBE)

Data for an optimized crystal structure of KLa2ZnRe.

Lattice parameters (Å, degrees): 5.5188 5.5188 4.6775 90.00 90.00 90.00
Closest atoms and distances in Å follow each position.
Space group P4/mmm (No. 123)
Unique sites:
1 K 0.0000 0.0000 0.0000 (multiplicity 1)  2 Re 2.34
2 La 0.0000 0.5000 0.0000 (multiplicity 2)  2 K 2.76
3 Zn 0.5000 0.5000 0.5000 (multiplicity 1)  8 La 3.62, 4 Re 3.90
4 Re 0.0000 0.0000 0.5000 (multiplicity 1)  2 K 2.34

Properties
Magnetic moment: 0.00 μB per formula unit

---

Most stable: i. Least stable: ii.

---

i.
## K2LaRh (PBE)

Data for an optimized crystal structure of K2LaRh.

Lattice parameters (Å, degrees): 5.9119 6.6107 6.6436 90.00 90.00 90.00
Closest atoms and distances in Å follow each position.
Space group Cmmm (No. 65)
Unique sites:
1 K 0.0000 0.2223 0.0000 (multiplicity 4)  3 K 2.94-2.98
2 La 0.0000 0.5000 0.5000 (multiplicity 2)  4 Rh 2.96-3.31
3 Rh 0.0000 0.0000 0.5000 (multiplicity 2)  4 La 2.96-3.31

Properties
Magnetic moment: 0.00 μB per formula unit

---

ii.
## K2LaRh (PBE)

Data for an optimized crystal structure of K2LaRh.

Lattice parameters (Å, degrees): 3.8933 6.6026 13.7243 90.00 90.00 90.00
Closest atoms and distances in Å follow each position.
Space group Imm2 (No. 44)
Unique sites:
1 K 0.0000 0.0000 0.0000 (multiplicity 2)  4 Rh 3.89, 4 K 3.89-3.97, 2 La 4.02
2 K 0.0000 0.5000 0.1610 (multiplicity 2)  2 Rh 3.47
3 La 0.0000 0.5000 0.8326 (multiplicity 2)  2 Rh 2.54
4 Rh 0.0000 0.0000 0.4516 (multiplicity 2)  2 La 2.54

Properties
Magnetic moment: 0.00 μB per formula unit

---

iii.
## K2LaRh (PBE)

Data for an optimized crystal structure of K2LaRh.

Lattice parameters (Å, degrees): 4.0595 3.9047 10.9556 90.00 100.38 90.00
Closest atoms and distances in Å follow each position.
Space group Pm (No. 6)
Unique sites:
1 K 0.0000 0.0000 0.0000 (multiplicity 1)  2 Rh 3.80, 4 K 3.90-4.06, 2 La 3.98-4.00
2 K 0.3169 0.5000 0.6289 (multiplicity 1)  1 Rh 3.52, 2 K 3.90
3 La 0.6592 0.0000 0.3186 (multiplicity 1)  4 Rh 2.82
4 Rh 0.1524 0.5000 0.3024 (multiplicity 1)  4 La 2.82

Properties
Magnetic moment: 0.00 μB per formula unit

---

iv.
## K2LaRh (PBE)

Data for an optimized crystal structure of K2LaRh.

Lattice parameters (Å, degrees): 3.9141 3.9141 10.9462 90.00 90.00 90.00
Closest atoms and distances in Å follow each position.
Space group P4mm (No. 99)
Unique sites:
1 K 0.0000 0.0000 0.0000 (multiplicity 1)  1 La 3.58, 4 K 3.91
2 K 0.5000 0.5000 0.3658 (multiplicity 1)  1 Rh 3.88, 4 K 3.91
3 La 0.0000 0.0000 0.6726 (multiplicity 1)  4 Rh 2.82
4 Rh 0.5000 0.5000 0.7205 (multiplicity 1)  4 La 2.82

Properties
Magnetic moment: 0.00 μB per formula unit

---

Most stable: iii. Least stable: i.

---

i.
## K2LaRh (PBE)

Data for an optimized crystal structure of K2LaRh.

Lattice parameters (Å, degrees): 4.3666 4.3666 13.0510 90.00 90.00 90.00
Closest atoms and distances in Å follow each position.
Space group I4/mmm (No. 139)
Unique sites:
1 K 0.0000 0.5000 0.2500 (multiplicity 4)  4 K 3.09
2 La 0.0000 0.0000 0.0000 (multiplicity 2)  4 Rh 3.09
3 Rh 0.0000 0.0000 0.5000 (multiplicity 2)  4 La 3.09

Properties
Magnetic moment: 0.81 μB per formula unit

---

ii.
## K2LaRh (PBE)

Data for an optimized crystal structure of K2LaRh.

Lattice parameters (Å, degrees): 3.6587 5.7836 6.1552 90.00 90.00 90.00
Closest atoms and distances in Å follow each position.
Space group Pmmm (No. 47)
Unique sites:
1 K 0.0000 0.2358 0.0000 (multiplicity 2)  1 K 2.73
2 La 0.5000 0.5000 0.5000 (multiplicity 1)  2 Rh 2.89
3 Rh 0.5000 0.0000 0.5000 (multiplicity 1)  2 La 2.89

Properties
Magnetic moment: 1.20 μB per formula unit

---

iii.
## K2LaRh (PBE)

Data for an optimized crystal structure of K2LaRh.

Lattice parameters (Å, degrees): 7.8836 7.8836 7.8836 90.00 90.00 90.00
Closest atoms and distances in Å follow each position.
Space group Fm-3m (No. 225)
Unique sites:
1 K 0.2500 0.2500 0.2500 (multiplicity 8)  4 La 3.41, 4 Rh 3.41
2 La 0.0000 0.0000 0.0000 (multiplicity 4)  8 K 3.41
3 Rh 0.0000 0.0000 0.5000 (multiplicity 4)  8 K 3.41

Properties
Magnetic moment: 0.00 μB per formula unit

---

Most stable: i. Least stable: iii.

---

i.
## K2LaRh (PBE)

Data for an optimized crystal structure of K2LaRh.

Lattice parameters (Å, degrees): 3.4956 3.4956 37.9245 90.00 90.00 120.00
Closest atoms and distances in Å follow each position.
Space group R-3m (No. 166, hexagonal axes)
Unique sites:
1 K 0.0000 0.0000 0.2310 (multiplicity 6)  3 Rh 3.17, 6 K 3.50
2 La 0.0000 0.0000 0.0000 (multiplicity 3)  6 La 3.50
3 Rh 0.0000 0.0000 0.5000 (multiplicity 3)  6 K 3.17, 6 Rh 3.50

Properties
Magnetic moment: 0.64 μB per formula unit

---

ii.
## K2LaRh (PBE)

Data for an optimized crystal structure of K2LaRh.

Lattice parameters (Å, degrees): 21.8841 3.8270 4.1314 90.00 100.78 90.00
Closest atoms and distances in Å follow each position.
Space group C2/m (No. 12)
Unique sites:
1 K 0.1571 0.0000 0.1550 (multiplicity 4)  4 K 3.83-4.13, 2 Rh 3.88, 2 La 3.96
2 La 0.0000 0.0000 0.5000 (multiplicity 2)  4 Rh 2.82
3 Rh 0.0000 0.5000 0.0000 (multiplicity 2)  4 La 2.82

Properties
Magnetic moment: 0.00 μB per formula unit

---

Most stable: ii. Least stable: i.

---

i.
## K2LaRh (PBE)

Data for an optimized crystal structure of K2LaRh.

Lattice parameters (Å, degrees): 3.6752 5.5661 12.6550 90.00 90.00 90.00
Closest atoms and distances in Å follow each position.
Space group Cmmm (No. 65)
Unique sites:
1 K 0.0000 0.0000 0.1937 (multiplicity 4)  2 Rh 3.06, 4 K 3.34
2 La 0.0000 0.5000 0.5000 (multiplicity 2)  6 La 3.34-3.68
3 Rh 0.0000 0.5000 0.0000 (multiplicity 2)  4 K 3.06, 4 Rh 3.34

Properties
Magnetic moment: 0.57 μB per formula unit

---

ii.
## K2LaRh (PBE)

Data for an optimized crystal structure of K2LaRh.

Lattice parameters (Å, degrees): 4.3774 4.3774 6.5028 90.00 90.00 90.00
Closest atoms and distances in Å follow each position.
Space group P4/mmm (No. 123)
Unique sites:
1 K 0.0000 0.5000 0.0000 (multiplicity 2)  4 K 3.10
2 La 0.0000 0.0000 0.5000 (multiplicity 1)  4 Rh 3.10
3 Rh 0.5000 0.5000 0.5000 (multiplicity 1)  4 La 3.10

Properties
Magnetic moment: 0.33 μB per formula unit

---

Most stable: ii. Least stable: i.

---

i.
## K2LaRh (PBE)

Data for an optimized crystal structure of K2LaRh.

Lattice parameters (Å, degrees): 4.9110 4.9110 5.7408 90.00 90.00 90.00
Closest atoms and distances in Å follow each position.
Space group P4/mmm (No. 123)
Unique sites:
1 K 0.0000 0.0000 0.2344 (multiplicity 2)  1 K 2.69
2 La 0.5000 0.5000 0.5000 (multiplicity 1)  2 Rh 2.87
3 Rh 0.5000 0.5000 0.0000 (multiplicity 1)  2 La 2.87

Properties
Magnetic moment: 0.00 μB per formula unit

---

ii.
## K2LaRh (PBE)

Data for an optimized crystal structure of K2LaRh.

Lattice parameters (Å, degrees): 3.2993 3.2993 12.4633 90.00 90.00 90.00
Closest atoms and distances in Å follow each position.
Space group P4/mmm (No. 123)
Unique sites:
1 K 0.0000 0.0000 0.1829 (multiplicity 2)  4 Rh 3.26, 4 K 3.30
2 La 0.5000 0.5000 0.5000 (multiplicity 1)  4 La 3.30
3 Rh 0.5000 0.5000 0.0000 (multiplicity 1)  8 K 3.26, 4 Rh 3.30

Properties
Magnetic moment: 1.20 μB per formula unit

---

Most stable: i. Least stable: ii.

---

i.
## KLaRh3 (PBE)

Data for an optimized crystal structure of KLaRh3.

Lattice parameters (Å, degrees): 5.0719 5.0719 5.0719 90.00 90.00 90.00
Closest atoms and distances in Å follow each position.
Space group Pm-3m (No. 221)
Unique sites:
1 K 0.0000 0.0000 0.0000 (multiplicity 1)  12 Rh 3.59
2 La 0.5000 0.5000 0.5000 (multiplicity 1)  6 Rh 2.54
3 Rh 0.0000 0.5000 0.5000 (multiplicity 3)  2 La 2.54

Properties
Magnetic moment: 0.62 μB per formula unit

---

ii.
## KLaRh3 (PBE)

Data for an optimized crystal structure of KLaRh3.

Lattice parameters (Å, degrees): 4.8284 4.8284 4.8284 90.00 90.00 90.00
Closest atoms and distances in Å follow each position.
Space group Pm-3m (No. 221)
Unique sites:
1 K 0.0000 0.0000 0.0000 (multiplicity 1)  6 Rh 2.41
2 La 0.5000 0.5000 0.5000 (multiplicity 1)  12 Rh 3.41
3 Rh 0.0000 0.0000 0.5000 (multiplicity 3)  2 K 2.41

Properties
Magnetic moment: 0.78 μB per formula unit

---

Most stable: i. Least stable: ii.

---

i.
## KLa2Ru (PBE)

Data for an optimized crystal structure of KLa2Ru.

Lattice parameters (Å, degrees): 4.4451 4.4451 11.1224 90.00 90.00 90.00
Closest atoms and distances in Å follow each position.
Space group I-4m2 (No. 119)
Unique sites:
1 K 0.0000 0.0000 0.0000 (multiplicity 2)  4 La 3.14
2 La 0.0000 0.0000 0.5000 (multiplicity 2)  4 K 3.14
3 La 0.0000 0.5000 0.7500 (multiplicity 2)  4 Ru 3.14
4 Ru 0.0000 0.5000 0.2500 (multiplicity 2)  4 La 3.14

Properties
Magnetic moment: 0.00 μB per formula unit

---

ii.
## KLa2Ru (PBE)

Data for an optimized crystal structure of KLa2Ru.

Lattice parameters (Å, degrees): 5.1317 5.1317 4.2508 90.00 90.00 90.00
Closest atoms and distances in Å follow each position.
Space group P4/mmm (No. 123)
Unique sites:
1 K 0.0000 0.0000 0.0000 (multiplicity 1)  8 La 3.33, 4 Ru 3.63
2 La 0.0000 0.5000 0.5000 (multiplicity 2)  4 K 3.33, 4 Ru 3.33, 4 La 3.63
3 Ru 0.5000 0.5000 0.0000 (multiplicity 1)  8 La 3.33, 4 K 3.63

Properties
Magnetic moment: 0.00 μB per formula unit

---

Most stable: ii. Least stable: i.